A plane-wave DFT calculation with PBE-GGA was carried out for an optimized crystal structure of BeVSb3.

Results
uncorrected formation energy: 764 meV per atom
ρ: 5.36 g/cm3
energy above the most stable polymorph in this dataset: 0.0055 eV/atom
M_tot: 0.00 μB per atom

Cell lengths 5.0894, 5.0894, 5.0894 Å; angles 90.00, 90.00, 90.00 degrees
Positions (direct):
Be: 0.0000 0.0000 0.0000
V: 0.5000 0.5000 0.5000
Sb: 0.0000 0.5000 0.5000
Sb: 0.5000 0.0000 0.5000
Sb: 0.5000 0.5000 0.0000

---

A plane-wave DFT calculation with PBE-GGA was carried out for an optimized crystal structure of BeVSb3.

Results
uncorrected formation energy: 758 meV per atom
ρ: 6.02 g/cm3
energy above the most stable polymorph in this dataset: 0.0000 eV/atom
M_tot: 0.74 μB per atom

Cell lengths 4.8960, 4.8960, 4.8960 Å; angles 90.00, 90.00, 90.00 degrees
Positions (direct):
Be: 0.0000 0.0000 0.0000
V: 0.5000 0.5000 0.5000
Sb: 0.0000 0.0000 0.5000
Sb: 0.0000 0.5000 0.0000
Sb: 0.5000 0.0000 0.0000

---

A plane-wave DFT calculation with PBE-GGA was carried out for an optimized crystal structure of Be4V2Sb.

Results
uncorrected formation energy: 1270 meV per atom
ρ: 3.59 g/cm3
M_tot: 0.00 μB per atom

Cell lengths 6.7104, 6.7104, 6.7104 Å; angles 140.74, 140.74, 56.73 degrees
Positions (direct):
Be: 0.0000 0.5000 0.5000
Be: 0.2063 0.2063 0.0000
Be: 0.5000 0.0000 0.5000
Be: 0.7937 0.7937 0.0000
V: 0.4109 0.4109 0.0000
V: 0.5891 0.5891 0.0000
Sb: 0.0000 0.0000 0.0000